Entry from Alexandria via LeMat-Bulk: an optimized crystal structure of Na3CoBi3O8 (GGA+U).

Cell lengths 6.817, 6.799, 6.875 Å; angles 119.45, 90.00, 120.09 degrees
Last column: magnetic moment on the atom in μB.
Element x y z (fractional)
Na 0.000 0.000 0.000  0.00
Na 0.000 0.500 0.000  0.00
Na 0.500 0.500 0.000  0.00
Co 0.000 0.000 0.500  2.88
Bi 0.500 0.000 0.500  0.02
Bi 0.500 0.500 0.500  0.08
Bi 0.000 0.500 0.500  0.08
O 0.253 0.506 0.263  0.10
O 0.747 0.494 0.737  0.10
O 0.776 0.553 0.296  0.27
O 0.224 0.447 0.704  0.27
O 0.790 0.025 0.303  0.23
O 0.210 0.975 0.697  0.23
O 0.235 0.025 0.303  0.23
O 0.765 0.975 0.697  0.23

Its raw total energy is -5.213 eV per atom.